Material: BeCuSi2C
Method: DFT, PBE
State: relaxed

Unit cell a=4.565 b=4.565 c=3.120 alpha=90.00 beta=90.00 gamma=90.00
Space group P4/mmm (No. 123)
One atom of each set of equivalent atoms:
Be  0.000  0.000  0.000 [1 per cell]
Cu  0.500  0.500  0.500 [1 per cell]
Si  0.000  0.500  0.000 [2 per cell]
C  0.000  0.000  0.500 [1 per cell]

Results
Uncorrected formation energy   1.078 eV/atom



Material: BeCuSnC2
Method: DFT, PBE
State: relaxed

Unit cell a=3.720 b=3.720 c=5.560 alpha=90.00 beta=90.00 gamma=90.00
Space group P4/mmm (No. 123)
One atom of each set of equivalent atoms:
Be  0.000  0.000  0.000 [1 per cell]
Cu  0.500  0.500  0.500 [1 per cell]
Sn  0.500  0.500  0.000 [1 per cell]
C  0.000  0.500  0.500 [2 per cell]

Results
Formation enthalpy at 0 K   2046 meV per atom



Material: SrBeCu2C
Method: DFT, PBE
State: relaxed

Unit cell a=4.039 b=4.039 c=5.670 alpha=90.00 beta=90.00 gamma=90.00
Space group P4/mmm (No. 123)
One atom of each set of equivalent atoms:
Sr  0.000  0.000  0.000 [1 per cell]
Be  0.000  0.000  0.500 [1 per cell]
Cu  0.000  0.500  0.500 [2 per cell]
C  0.500  0.500  0.000 [1 per cell]

Results
Formation enthalpy at 0 K   1282 meV per atom



Material: Ti2BeCuC
Method: DFT, PBE
State: relaxed

Unit cell a=4.228 b=4.228 c=3.396 alpha=90.00 beta=90.00 gamma=90.00
Space group P4/mmm (No. 123)
One atom of each set of equivalent atoms:
Ti  0.000  0.500  0.000 [2 per cell]
Be  0.000  0.000  0.500 [1 per cell]
Cu  0.500  0.500  0.500 [1 per cell]
C  0.000  0.000  0.000 [1 per cell]

Results
Formation enthalpy at 0 K   -267 meV per atom



Number 1: total energy -22.504 eV per cell. Number 2: total energy -20.043 eV per cell. Number 3: total energy -16.414 eV per cell. Number 4: total energy -34.170 eV per cell.